[1]
Computed, not measured: a relaxed Ce2AgRu crystal at the PBE-GGA level of DFT.

Lattice parameters (Å, degrees): 4.0084 4.0084 22.1722 90.00 90.00 120.00
With the nearest neighbours (Å) after each atom.
Space group R-3m (No. 166, hexagonal axes)
Symmetry-distinct sites (fractional):
Ce: 0.0000 0.0000 0.2357 x6  3 Ru 2.77
Ag: 0.0000 0.0000 0.0000 x3  6 Ce 3.17
Ru: 0.0000 0.0000 0.5000 x3  6 Ce 2.77

Values from the calculation:
energy relative to the elements	-0.152	eV/atom
size of the total moment	0.21	μB per atom

[2]
Computed, not measured: a relaxed Mo8P5 crystal at the PBE-GGA level of DFT.

Lattice parameters (Å, degrees): 6.5762 3.2065 9.4696 90.00 109.36 90.00
With the nearest neighbours (Å) after each atom.
Space group Pm (No. 6)
Symmetry-distinct sites (fractional):
Mo: 0.0000 0.0000 0.0000 x1  5 P 2.39-2.57
Mo: 0.0074 0.0000 0.3217 x1  5 P 2.36-2.52
Mo: 0.1877 0.5000 0.7897 x1  5 P 2.40-2.51
Mo: 0.3993 0.5000 0.5193 x1  2 P 2.43
Mo: 0.4413 0.0000 0.2642 x1  5 P 2.43-2.45
Mo: 0.5612 0.0000 0.7918 x1  3 P 2.36-2.62
Mo: 0.6693 0.5000 0.0743 x1  3 P 2.44-2.63
Mo: 0.7926 0.0000 0.5679 x1  5 P 2.44-2.55
P: 0.1464 0.5000 0.1944 x1  6 Mo 2.36-2.43
P: 0.1722 0.0000 0.5889 x1  7 Mo 2.40-2.64
P: 0.3738 0.0000 0.9963 x1  7 Mo 2.43-2.62
P: 0.7370 0.5000 0.3637 x1  7 Mo 2.44-2.63
P: 0.8192 0.5000 0.7827 x1  7 Mo 2.36-2.57

Values from the calculation:
energy relative to the elements	-0.500	eV/atom
size of the total moment	0.00	μB per atom

[3]
Computed, not measured: a relaxed Ir2RhI crystal at the PBE-GGA level of DFT.

Lattice parameters (Å, degrees): 6.4480 6.4480 6.4480 90.00 90.00 90.00
With the nearest neighbours (Å) after each atom.
Space group Fm-3m (No. 225)
Symmetry-distinct sites (fractional):
Ir: 0.2500 0.2500 0.2500 x8  4 Rh 2.79, 4 I 2.79
Rh: 0.0000 0.0000 0.0000 x4  8 Ir 2.79
I: 0.0000 0.0000 0.5000 x4  8 Ir 2.79

Values from the calculation:
E above lowest polymorph	0.000	eV per atom
E_form (uncorrected)	0.9939	eV per atom
size of the total moment	0.12	μB per atom

[4]
Computed, not measured: a relaxed SrLaGa2Fe crystal at the PBE-GGA level of DFT.

Lattice parameters (Å, degrees): 4.9550 4.9550 4.8735 90.00 90.00 90.00
With the nearest neighbours (Å) after each atom.
Space group P4/mmm (No. 123)
Symmetry-distinct sites (fractional):
Sr: 0.0000 0.0000 0.0000 x1  8 Ga 3.48, 4 La 3.50
La: 0.5000 0.5000 0.0000 x1  2 Fe 2.44
Ga: 0.0000 0.5000 0.5000 x2  2 Fe 2.48
Fe: 0.5000 0.5000 0.5000 x1  2 La 2.44, 4 Ga 2.48

Values from the calculation:
energy relative to the elements	-0.233	eV/atom
size of the total moment	0.08	μB per atom

[5]
Computed, not measured: a relaxed Fe9Cu9S16 crystal at the PBE-GGA level of DFT.

Lattice parameters (Å, degrees): 10.5811 10.5811 5.2674 90.00 90.00 90.00
With the nearest neighbours (Å) after each atom.
Space group P-42m (No. 111)
Symmetry-distinct sites (fractional):
Fe: 0.0000 0.0000 0.0000 x1  4 S 2.25
Fe: 0.0000 0.0000 0.5000 x1  4 S 2.28
Fe: 0.0000 0.5000 0.0000 x2  4 S 2.27
Fe: 0.2497 0.5000 0.5000 x4  4 S 2.25-2.26
Fe: 0.5000 0.5000 0.5000 x1  4 S 2.25
Cu: 0.0000 0.2572 0.5000 x4  4 S 2.28-2.35
Cu: 0.2480 0.2480 0.0152 x4  4 S 2.25-2.39
Cu: 0.5000 0.5000 0.0000 x1  4 S 2.33
S: 0.1230 0.1230 0.7549 x4  2 Fe 2.25-2.28, 3 Cu 2.32-2.35
S: 0.1264 0.3780 0.2483 x8  2 Cu 2.25-2.28, 2 Fe 2.26-2.27
S: 0.3748 0.3748 0.7379 x4  3 Fe 2.25, 2 Cu 2.33-2.39

Values from the calculation:
E_form (uncorrected)	-0.2785	eV per atom
size of the total moment	0.71	μB per atom

For the records above, the corresponding energy values read -73.8 -120.2 -90.6 -22.3 -188.5 eV/cell.